# 1
A plane-wave DFT calculation with SCAN was carried out for a crystal of K5Ag3 relaxed with PBEsol.

Results
* V: 36.1 A^3/atom
* VASP energy: -16.876 eV per atom
* energy of formation from the pure elements: 0.0919 eV per atom
* magnetization: 0.0000 μB/atom
* crystal system: tetragonal

Cell lengths 6.3216, 10.0632, 10.0632 Å; angles 84.34, 71.69, 71.69 degrees
Closest atoms and distances in Å follow each position.
Fractional positions:
Ag (0.7500, 0.0000, 0.0000)  2 Ag 3.16, 8 K 3.48
Ag (0.2500, 0.0000, 0.0000)  2 Ag 3.16, 8 K 3.48
Ag (0.3406, 0.5000, 0.8188)  10 K 3.43-3.73
Ag (0.6594, 0.5000, 0.1812)  10 K 3.43-3.73
Ag (0.8406, 0.8188, 0.5000)  10 K 3.43-3.73
Ag (0.1594, 0.1812, 0.5000)  10 K 3.43-3.73
K (0.7500, 0.5000, 0.5000)  2 K 3.16, 4 Ag 3.43
K (0.2500, 0.5000, 0.5000)  2 K 3.16, 4 Ag 3.43
K (0.4149, 0.8716, 0.2986)  6 Ag 3.48-3.73, 1 K 3.85
K (0.5851, 0.1284, 0.7014)  6 Ag 3.48-3.73, 1 K 3.85
K (0.9149, 0.2986, 0.8716)  6 Ag 3.48-3.73, 1 K 3.85
K (0.0851, 0.7014, 0.1284)  6 Ag 3.48-3.73, 1 K 3.85
K (0.2135, 0.8716, 0.7014)  6 Ag 3.48-3.73, 1 K 3.85
K (0.7865, 0.1284, 0.2986)  6 Ag 3.48-3.73, 1 K 3.85
K (0.2865, 0.2986, 0.1284)  6 Ag 3.48-3.73, 1 K 3.85
K (0.7135, 0.7014, 0.8716)  6 Ag 3.48-3.73, 1 K 3.85


# 2
A plane-wave DFT calculation with SCAN was carried out for a crystal of Hg4TeIr relaxed with PBEsol.

Results
* V: 21.3 A^3/atom
* VASP energy: -62.601 eV per atom
* magnetization: 0.0006 μB/atom
* crystal system: cubic

Cell lengths 5.6513, 5.6513, 5.6513 Å; angles 60.00, 60.00, 60.00 degrees
Closest atoms and distances in Å follow each position.
Fractional positions:
Hg (0.3755, 0.3755, 0.3755)  6 Hg 2.82-2.84
Hg (0.3755, 0.3755, 0.8736)  6 Hg 2.82-2.84
Hg (0.8736, 0.3755, 0.3755)  6 Hg 2.82-2.84
Hg (0.3755, 0.8736, 0.3755)  6 Hg 2.82-2.84
Ir (0.7500, 0.7500, 0.7500)  12 Hg 3.31, 4 Te 3.46
Te (0.0000, 0.0000, 0.0000)  12 Hg 3.31, 4 Ir 3.46


# 3
A plane-wave DFT calculation with SCAN was carried out for a crystal of NaZnSiAg2 relaxed with PBEsol.

Results
* V: 24.2 A^3/atom
* VASP energy: -17.601 eV per atom
* magnetization: 0.1244 μB/atom
* crystal system: tetragonal

Cell lengths 4.7296, 4.7296, 5.4059 Å; angles 90.00, 90.00, 90.00 degrees
Closest atoms and distances in Å follow each position.
Fractional positions:
Na (0.0000, 0.0000, 0.5000)  2 Si 2.70
Zn (0.5000, 0.5000, 0.5000)  4 Na 3.34, 8 Ag 3.59
Si (0.0000, 0.0000, 0.0000)  4 Ag 2.36
Ag (0.0000, 0.5000, 0.0000)  2 Si 2.36
Ag (0.5000, 0.0000, 0.0000)  2 Si 2.36